[1]
HfCuSO | PBE | optimized geometry

Lattice parameters (Å, degrees): 3.5021 3.5021 8.7037 90.00 90.00 90.00
Last column: nearest neighbours and their distance in Å.
Space group P4/nmm (No. 129, origin choice 2)
Unique sites:
1 Hf 0.2500 0.2500 0.1442 x2  4 O 2.15
2 Cu 0.2500 0.7500 0.5000 x2  4 Cu 2.48, 4 S 2.58
3 S 0.2500 0.2500 0.7179 x2  4 Cu 2.58, 4 Hf 2.75
4 O 0.2500 0.7500 0.0000 x2  4 Hf 2.15

---

[2]
HfSc2CuO | PBE | optimized geometry

Lattice parameters (Å, degrees): 4.3184 4.3184 4.3717 90.00 90.00 90.00
Last column: nearest neighbours and their distance in Å.
Space group P4/mmm (No. 123)
Unique sites:
1 Hf 0.0000 0.0000 0.0000 x1  2 O 2.19
2 Sc 0.0000 0.5000 0.5000 x2  2 O 2.16
3 Cu 0.5000 0.5000 0.0000 x1  4 Hf 3.05, 8 Sc 3.07
4 O 0.0000 0.0000 0.5000 x1  4 Sc 2.16, 2 Hf 2.19

---

[3]
SrHf4Cu3O12 | PBE | optimized geometry

Lattice parameters (Å, degrees): 7.8084 7.8084 7.8084 90.00 90.00 90.00
Last column: nearest neighbours and their distance in Å.
Space group Im-3 (No. 204)
Unique sites:
1 Sr 0.0000 0.0000 0.0000 x2  12 O 2.75
2 Hf 0.2500 0.2500 0.2500 x8  6 O 2.10
3 Cu 0.0000 0.0000 0.5000 x6  4 O 2.01
4 O 0.0000 0.1712 0.3074 x24  1 Cu 2.01, 2 Hf 2.10

---

[4]
Sr3HfCu2O6 | PBE | optimized geometry

Lattice parameters (Å, degrees): 5.8796 5.8796 6.4239 90.00 90.00 120.00
Last column: nearest neighbours and their distance in Å.
Space group P-3m1 (No. 164)
Unique sites:
1 Sr 0.0000 0.0000 0.0000 x1  6 O 2.58
2 Sr 0.3333 0.6667 0.6318 x2  9 O 2.71-2.97, 1 Cu 2.99
3 Hf 0.0000 0.0000 0.5000 x1  6 O 2.07
4 Cu 0.3333 0.6667 0.1667 x2  3 O 1.96
5 O 0.1627 0.3253 0.3075 x6  1 Cu 1.96, 1 Hf 2.07

---

[5]
HfCuTcO6 | PBE | optimized geometry

Lattice parameters (Å, degrees): 5.1912 5.1912 8.9328 90.00 90.00 120.00
Last column: nearest neighbours and their distance in Å.
Space group P-31c (No. 163)
Unique sites:
1 Hf 0.3333 0.6667 0.2500 x2  6 O 2.08
2 Cu 0.0000 0.0000 0.0000 x2  6 O 2.16
3 Tc 0.3333 0.6667 0.7500 x2  6 O 1.93
4 O 0.0215 0.3603 0.6299 x12  1 Tc 1.93, 1 Hf 2.08, 1 Cu 2.16

---

[6]
Hf2CuTeO | PBE | optimized geometry

Lattice parameters (Å, degrees): 5.2644 5.2644 4.5343 90.00 90.00 90.00
Last column: nearest neighbours and their distance in Å.
Space group P4/mmm (No. 123)
Unique sites:
1 Hf 0.0000 0.5000 0.0000 x2  2 Te 2.63
2 Cu 0.0000 0.0000 0.5000 x1  2 Te 2.27
3 Te 0.0000 0.0000 0.0000 x1  2 Cu 2.27
4 O 0.5000 0.5000 0.5000 x1  8 Hf 3.47, 4 Cu 3.72

---

One value per record, in order, for energy relative to the elements, uncorrected: -1.48, -1.17, -2.55, -2.16, -1.74, 1.25 eV/atom.